Record 1
# PBE Ba3NbSb, optimized geometry
# - formation energy (no corrections) (eV per atom) = 0.462
# - offset from the most stable computed form (meV per atom) = 0
# - V (Å³ per cell) = 205.4
# - M_tot (μB per formula unit) = 0.540
data_Ba3NbSb
_chemical_formula_sum 'Ba3 Nb1 Sb1'
_space_group_name_H-M_alt 'P m -3 m'
_space_group_IT_number 221
_space_group_name_Hall '-P 4 2 3'
_cell_length_a 5.9005
_cell_length_b 5.9005
_cell_length_c 5.9005
_cell_angle_alpha 90.00
_cell_angle_beta 90.00
_cell_angle_gamma 90.00
loop_
_atom_site_label
_atom_site_fract_x
_atom_site_fract_y
_atom_site_fract_z
_atom_site_occupancy
Ba1 0.0000 0.0000 0.5000 1
Nb1 0.0000 0.0000 0.0000 1
Sb1 0.5000 0.5000 0.5000 1



Record 2
# PBE Pa2AsPt, optimized geometry
# - offset from the most stable computed form (meV per atom) = 548
# - V (Å³ per cell) = 279.7
# - M_tot (μB per formula unit) = 0.000
data_Pa2AsPt
_chemical_formula_sum 'Pa6 As3 Pt3'
_space_group_name_H-M_alt 'R -3 m'
_space_group_IT_number 166
_space_group_name_Hall '-R 3 2"'
_cell_length_a 3.3530
_cell_length_b 3.3530
_cell_length_c 28.7247
_cell_angle_alpha 90.00
_cell_angle_beta 90.00
_cell_angle_gamma 120.00
loop_
_atom_site_label
_atom_site_fract_x
_atom_site_fract_y
_atom_site_fract_z
_atom_site_occupancy
Pa1 0.0000 0.0000 0.0933 1
As1 0.0000 0.0000 0.5000 1
Pt1 0.0000 0.0000 0.0000 1



Record 3
# PBE CaCrNi, optimized geometry
# - offset from the most stable computed form (meV per atom) = 162
# - V (Å³ per cell) = 63.1
# - M_tot (μB per formula unit) = 4.085
data_CaCrNi
_chemical_formula_sum 'Ca1 Cr1 Ni1'
_space_group_name_H-M_alt 'P -6 m 2'
_space_group_IT_number 187
_space_group_name_Hall 'P -6 2'
_cell_length_a 4.1581
_cell_length_b 4.1581
_cell_length_c 4.2121
_cell_angle_alpha 90.00
_cell_angle_beta 90.00
_cell_angle_gamma 120.00
loop_
_atom_site_label
_atom_site_fract_x
_atom_site_fract_y
_atom_site_fract_z
_atom_site_occupancy
Ca1 0.0000 0.0000 0.0000 1
Cr1 0.6667 0.3333 0.5000 1
Ni1 0.3333 0.6667 0.5000 1



Record 4
# PBE NdHo5Er2Sc, optimized geometry
# - total DFT energy (no corrections) (Ry/atom) = -0.3392
# - V (Å³ per cell) = 1124.5
# - M_tot (μB per formula unit) = 0.000
data_NdHo5Er2Sc
_chemical_formula_sum 'Nd4 Ho20 Er8 Sc4'
_space_group_name_H-M_alt 'C m c 21'
_space_group_IT_number 36
_cell_length_a 5.5390
_cell_length_b 19.6433
_cell_length_c 10.3348
_cell_angle_alpha 90.00
_cell_angle_beta 90.00
_cell_angle_gamma 90.00
loop_
_space_group_symop_operation_xyz
'x,y,z'
'-x,-y,z+1/2'
'-x,y,z'
'x,-y,z+1/2'
'x+1/2,y+1/2,z'
'-x+1/2,-y+1/2,z+1/2'
'-x+1/2,y+1/2,z'
'x+1/2,-y+1/2,z+1/2'
loop_
_atom_site_label
_atom_site_fract_x
_atom_site_fract_y
_atom_site_fract_z
_atom_site_occupancy
Nd1 0.0000 0.0869 0.0000 1
Ho1 0.0000 0.0196 0.2861 1
Ho2 0.0000 0.1228 0.5684 1
Ho3 0.0000 0.2017 0.2536 1
Ho4 0.0000 0.2233 0.8692 1
Ho5 0.0000 0.4816 0.5677 1
Er1 0.0000 0.3862 0.2829 1
Er2 0.0000 0.3886 0.8619 1
Sc1 0.0000 0.3039 0.5621 1



Record 5
# PBE SrTe2P, optimized geometry
# - formation energy (no corrections) (eV per atom) = -0.080
# - offset from the most stable computed form (meV per atom) = 577
# - V (Å³ per cell) = 454.8
# - M_tot (μB per formula unit) = 0.000
data_SrTe2P
_chemical_formula_sum 'Sr4 Te8 P4'
_space_group_name_H-M_alt 'F -4 3 m'
_space_group_IT_number 216
_space_group_name_Hall 'F -4 2 3'
_cell_length_a 7.6900
_cell_length_b 7.6900
_cell_length_c 7.6900
_cell_angle_alpha 90.00
_cell_angle_beta 90.00
_cell_angle_gamma 90.00
loop_
_atom_site_label
_atom_site_fract_x
_atom_site_fract_y
_atom_site_fract_z
_atom_site_occupancy
Sr1 0.0000 0.0000 0.0000 1
Te1 0.0000 0.0000 0.5000 1
Te2 0.2500 0.2500 0.2500 1
P1 0.2500 0.2500 0.7500 1



Record 6
# PBE CaSi2Br, optimized geometry
# - formation energy (no corrections) (eV per atom) = -0.331
# - offset from the most stable computed form (meV per atom) = 345
# - V (Å³ per cell) = 104.8
# - M_tot (μB per formula unit) = 0.000
data_CaSi2Br
_chemical_formula_sum 'Ca1 Si2 Br1'
_space_group_name_H-M_alt 'P 1 2/m 1'
_space_group_IT_number 10
_cell_length_a 3.8427
_cell_length_b 6.1402
_cell_length_c 4.4445
_cell_angle_alpha 90.00
_cell_angle_beta 92.72
_cell_angle_gamma 90.00
loop_
_space_group_symop_operation_xyz
'x,y,z'
'-x,-y,-z'
'-x,y,-z'
'x,-y,z'
loop_
_atom_site_label
_atom_site_fract_x
_atom_site_fract_y
_atom_site_fract_z
_atom_site_occupancy
Ca1 0.0000 0.0000 0.0000 1
Si1 0.2386 0.5000 0.8552 1
Br1 0.5000 0.0000 0.5000 1



Record 7
# PBE Ca2Hf2Os, optimized geometry
# - offset from the most stable computed form (meV per atom) = 765
# - V (Å³ per cell) = 236.7
# - M_tot (μB per formula unit) = 0.000
data_Ca2Hf2Os
_chemical_formula_sum 'Ca4 Hf4 Os2'
_space_group_name_H-M_alt 'I 4/m m m'
_space_group_IT_number 139
_space_group_name_Hall '-I 4 2'
_cell_length_a 3.7648
_cell_length_b 3.7648
_cell_length_c 16.6965
_cell_angle_alpha 90.00
_cell_angle_beta 90.00
_cell_angle_gamma 90.00
loop_
_atom_site_label
_atom_site_fract_x
_atom_site_fract_y
_atom_site_fract_z
_atom_site_occupancy
Ca1 0.0000 0.5000 0.2500 1
Hf1 0.0000 0.0000 0.0789 1
Os1 0.0000 0.0000 0.5000 1



Record 8
# PBE GdErP2, optimized geometry
# - total DFT energy (no corrections) (Ry/atom) = -0.6592
# - V (Å³ per cell) = 273.7
# - M_tot (μB per formula unit) = 6.975
data_GdErP2
_chemical_formula_sum 'Gd3 Er3 P6'
_space_group_name_H-M_alt 'R -3 m'
_space_group_IT_number 166
_space_group_name_Hall '-R 3 2"'
_cell_length_a 4.0120
_cell_length_b 4.0120
_cell_length_c 19.6380
_cell_angle_alpha 90.00
_cell_angle_beta 90.00
_cell_angle_gamma 120.00
loop_
_atom_site_label
_atom_site_fract_x
_atom_site_fract_y
_atom_site_fract_z
_atom_site_occupancy
Gd1 0.0000 0.0000 0.0000 1
Er1 0.0000 0.0000 0.5000 1
P1 0.0000 0.0000 0.2485 1